Model P:
A relaxed NpSb2Te crystal, computed with PBE.

Structure (POSCAR):
```
NpSb2Te
1.0
4.292 0.000 0.000
0.000 4.292 0.000
0.000 0.000 6.001
Np Sb Te
1 2 1
Direct
0.000 0.000 0.000
0.500 0.500 0.244
0.500 0.500 0.756
0.000 0.000 0.500
```

Output
Total magnetization   4.060 μB per cell

---

Model Q:
A relaxed NpSb2Te crystal, computed with PBE.

Structure (POSCAR):
```
NpSb2Te
1.0
2.282 1.318 8.835
-2.282 1.318 8.835
0.000 -2.635 8.835
Np Sb Te
1 2 1
Direct
0.000 0.000 0.000
0.393 0.393 0.393
0.607 0.607 0.607
0.500 0.500 0.500
```

Output
Total magnetization   4.207 μB per cell

---

Relative to the most stable structure, the computed energies are model P 0.000; model Q 0.510, all in eV/atom.

---

Model P:
A relaxed NpTiSb2 crystal, computed with PBE.

Structure (POSCAR):
```
NpTiSb2
1.0
3.447 0.000 0.000
0.000 3.447 0.000
0.000 0.000 7.699
Np Ti Sb
1 1 2
Direct
0.000 0.000 0.000
0.000 0.000 0.500
0.500 0.500 0.281
0.500 0.500 0.719
```

Output
Total magnetization   5.158 μB per cell

---

Model Q:
A relaxed NpTiSb2 crystal, computed with PBE.

Structure (POSCAR):
```
NpTiSb2
1.0
2.076 1.199 6.875
-2.076 1.199 6.875
0.000 -2.397 6.875
Np Ti Sb
1 1 2
Direct
0.000 0.000 0.000
0.500 0.500 0.500
0.239 0.239 0.239
0.761 0.761 0.761
```

Output
Total magnetization   4.362 μB per cell

---

Relative to the most stable structure, the computed energies are model P 0.082; model Q 0.000, all in eV/atom.

---

Model P:
A relaxed NpTiSb2 crystal, computed with PBE.

Structure (POSCAR):
```
NpTiSb2
1.0
4.847 0.000 0.000
0.000 4.847 0.000
0.000 0.000 3.967
Np Ti Sb
1 1 2
Direct
0.000 0.000 0.000
0.500 0.500 0.000
0.000 0.500 0.500
0.500 0.000 0.500
```

Output
Total magnetization   5.667 μB per cell

---

Model Q:
A relaxed NpTiSb2 crystal, computed with PBE.

Structure (POSCAR):
```
NpTiSb2
1.0
-2.143 2.143 10.464
2.143 -2.143 10.464
2.143 2.143 -10.464
Np Ti Sb
2 2 4
Direct
0.114 0.114 0.000
0.886 0.886 0.000
0.250 0.750 0.500
0.750 0.250 0.500
0.000 0.500 0.500
0.339 0.339 0.000
0.500 0.000 0.500
0.661 0.661 0.000
```

Output
Total magnetization   7.277 μB per cell

---

Relative to the most stable structure, the computed energies are model P 0.164; model Q 0.000, all in eV/atom.